[1]
Material: BeCo2Se
Method: DFT, PBEsol
State: relaxed

Unit cell a=2.790 b=2.790 c=6.877 alpha=78.30 beta=78.30 gamma=60.00
Last column: magnetic moment on the atom in μB.
Atoms (fractional coordinates):
Co 0.256 0.256 0.232  0.54
Co 0.744 0.744 0.768  0.54
Be 0.000 0.000 0.000  -0.02
Se 0.500 0.500 0.500  0.01

Values from the calculation:
Space group = R-3m
Total DFT energy (no corrections) = -5.62 eV per atom
E_form (uncorrected) = 211 meV per atom
Offset from the most stable computed form = 20.4 kJ/mol of atoms
Calculated volume = 11.3 A^3/atom

=====

[2]
Material: MnZn2Co
Method: DFT, PBEsol
State: relaxed

Unit cell a=3.615 b=3.615 c=3.730 alpha=90.00 beta=90.00 gamma=90.00
Last column: magnetic moment on the atom in μB.
Atoms (fractional coordinates):
Mn 0.000 0.000 0.500  3.06
Zn 0.500 0.000 0.000  -0.04
Co 0.500 0.500 0.500  1.28
Zn 0.000 0.500 0.000  -0.04

Values from the calculation:
Space group = P4/mmm
Total DFT energy (no corrections) = -5.14 eV per atom
E_form = 0.1 eV per formula unit
Offset from the most stable computed form = 3.2 kJ/mol of atoms
Calculated volume = 12.2 A^3/atom

=====

[3]
Material: PPbN2
Method: DFT, PBEsol
State: relaxed

Unit cell a=2.890 b=2.890 c=7.072 alpha=78.21 beta=78.21 gamma=60.00
Atoms (fractional coordinates):
N 0.877 0.877 0.369
Pb 0.000 0.000 0.000
N 0.123 0.123 0.631
P 0.500 0.500 0.500

Values from the calculation:
Space group = R-3m
Total DFT energy (no corrections) = -6.52 eV per atom
E_form (uncorrected) = 195 meV per atom
Calculated volume = 12.4 A^3/atom